DFT (GGA-PBE) results for a geometry-optimized KBe2Tc structure.

Unit cell a=5.817 b=5.817 c=5.817 alpha=155.45 beta=126.61 gamma=59.61
Fractional positions:
Be1 0.800 0.300 0.500
Be2 0.000 0.000 0.000
K1 0.501 0.501 0.000
Tc1 0.199 0.699 0.500

Summary:
ρ: 3.946 g/cm3
Calculated formation energy: 0.9164 eV per atom

DFT (GGA-PBE) results for a geometry-optimized SrTlP2O6 structure.

Unit cell a=7.444 b=7.444 c=6.100 alpha=100.54 beta=100.54 gamma=89.39
Each line ends with the local moment (μB).
Fractional positions:
O1 0.810 0.852 0.947  0.02
O2 0.361 0.957 0.728  0.02
O3 0.852 0.810 0.447  0.02
O4 0.639 0.043 0.272  0.02
O5 0.957 0.361 0.228  0.02
O6 0.043 0.639 0.772  0.02
O7 0.695 0.565 0.647  0.01
O8 0.190 0.148 0.053  0.02
O9 0.435 0.305 0.853  0.01
O10 0.148 0.190 0.553  0.02
O11 0.565 0.695 0.147  0.01
O12 0.305 0.435 0.353  0.01
P1 0.150 0.289 0.273  0.08
P2 0.289 0.150 0.773  0.08
P3 0.850 0.711 0.727  0.08
P4 0.711 0.850 0.227  0.08
Tl1 0.827 0.173 0.750  0.01
Tl2 0.173 0.827 0.250  0.01
Sr1 0.625 0.375 0.250  0.00
Sr2 0.375 0.625 0.750  0.00

Summary:
ρ: 4.575 g/cm3
E_form (uncorrected): -2021 meV per atom

DFT (GGA-PBE) results for a geometry-optimized CdCuTc2 structure.

Unit cell a=5.789 b=5.789 c=4.473 alpha=63.69 beta=63.69 gamma=27.65
Fractional positions:
Cd1 0.750 0.750 0.750
Tc1 0.971 0.971 0.033
Tc2 0.529 0.529 0.467
Cu1 0.250 0.250 0.250

Summary:
ρ: 9.979 g/cm3
Calculated formation energy: 0.3857 eV per atom